# 1
Compound: La6NdDyHo2
Source: Alexandria
Functional: PBE
Structure: relaxed

Space-group type: C2/m
Formation enthalpy at 0 K, eV/f.u.: 1.92

Lattice parameters (Å, degrees): 9.0227 7.1358 6.7269 122.03 101.44 90.00
Atoms (fractional coordinates):
La 0.5665 0.3627 0.7255
La 0.4335 0.6373 0.2745
La 0.8066 0.9613 0.3657
La 0.1934 0.5956 0.6343
La 0.8066 0.4044 0.3657
La 0.1934 0.0387 0.6343
Ho 0.8382 0.9127 0.8255
Ho 0.1618 0.0873 0.1745
Nd 0.5000 0.0000 0.0000
Dy 0.0000 0.5000 0.0000



# 2
Compound: Li2UTl2Te4
Source: Alexandria
Functional: PBE
Structure: relaxed

Space-group type: C2/m
Uncorrected formation energy, eV per atom: -0.66

Lattice parameters (Å, degrees): 4.5321 8.4932 8.2292 110.24 90.00 105.47
Site moments in Bohr magnetons follow the coordinates.
Atoms (fractional coordinates):
Te 0.2000 0.3999 0.1931  -0.04
Te 0.4884 0.9768 0.2433  -0.07
Te 0.5116 0.0232 0.7567  -0.07
Te 0.8000 0.6001 0.8069  -0.04
Tl 0.1377 0.2754 0.5662  0.00
Tl 0.8623 0.7246 0.4338  0.00
Li 0.3178 0.6356 0.0099  0.00
Li 0.6822 0.3644 0.9901  0.00
U 0.0000 0.0000 0.0000  2.22



# 3
Compound: PuCoP2
Source: Alexandria
Functional: PBE
Structure: relaxed

Space-group type: I4/mmm
Formation enthalpy at 0 K, eV/f.u.: -3.40

Lattice parameters (Å, degrees): 3.6867 3.6867 9.7741 100.87 100.87 90.00
Site moments in Bohr magnetons follow the coordinates.
Atoms (fractional coordinates):
P 0.6824 0.6824 0.3649  -0.04
P 0.5000 0.0000 0.0000  -0.09
P 0.0000 0.5000 0.0000  -0.09
P 0.3176 0.3176 0.6351  -0.04
Co 0.7500 0.2500 0.5000  0.06
Co 0.2500 0.7500 0.5000  0.06
Pu 0.8880 0.8880 0.7759  4.85
Pu 0.1120 0.1120 0.2241  4.85



# 4
Compound: BiB3Mo
Source: Alexandria
Functional: PBE
Structure: relaxed

Space-group type: Pm-3m
Formation enthalpy at 0 K, eV/f.u.: 15.52
Energy above the most stable polymorph in this dataset, meV per atom: 1841.9

Lattice parameters (Å, degrees): 4.4887 4.4887 4.4887 90.00 90.00 90.00
Atoms (fractional coordinates):
Mo 0.5000 0.5000 0.5000
Bi 0.0000 0.0000 0.0000
B 0.0000 0.0000 0.5000
B 0.0000 0.5000 0.0000
B 0.5000 0.0000 0.0000



# 5
Compound: K4Cu3HgF12
Source: Alexandria
Functional: PBE
Structure: relaxed

Space-group type: Im-3m
Uncorrected formation energy, eV per atom: -2.05

Lattice parameters (Å, degrees): 7.2944 7.2944 7.2944 109.47 109.47 109.47
Site moments in Bohr magnetons follow the coordinates.
Atoms (fractional coordinates):
Cu 0.0000 0.5000 0.5000  0.72
Cu 0.5000 0.0000 0.5000  0.72
Cu 0.5000 0.5000 0.0000  0.72
F 0.5000 0.2500 0.7500  0.09
F 0.0000 0.7301 0.7301  0.05
F 0.2500 0.5000 0.7500  0.09
F 0.0000 0.2699 0.2699  0.05
F 0.7301 0.7301 0.0000  0.05
F 0.7500 0.2500 0.5000  0.09
F 0.7301 0.0000 0.7301  0.05
F 0.2699 0.2699 0.0000  0.05
F 0.2500 0.7500 0.5000  0.09
F 0.5000 0.7500 0.2500  0.09
F 0.7500 0.5000 0.2500  0.09
F 0.2699 0.0000 0.2699  0.05
K 0.5000 0.0000 0.0000  0.00
K 0.5000 0.5000 0.5000  0.00
K 0.0000 0.0000 0.5000  0.00
K 0.0000 0.5000 0.0000  0.00
Hg 0.0000 0.0000 0.0000  0.03



# 6
Compound: CaMg2NiAs
Source: Alexandria
Functional: PBE
Structure: relaxed

Space-group type: P4/mmm
Formation enthalpy at 0 K, eV/f.u.: 5.85

Lattice parameters (Å, degrees): 5.6048 4.5008 5.6048 90.00 90.00 90.00
Atoms (fractional coordinates):
Ni 0.0000 0.5000 0.0000
Mg 0.0000 0.0000 0.5000
Mg 0.5000 0.0000 0.0000
As 0.5000 0.5000 0.5000
Ca 0.0000 0.0000 0.0000